No. 1
Computed, not measured: crystalline Sb2RuS4 at its relaxed geometry at the PBE level of DFT.

Computed properties:
Uncorrected energy: -32.969 eV/f.u.
SG: I4/mmm (139)

a b c (Å): 7.6960 7.6960 7.6960
angles (deg): 145.29 145.29 49.91
Fractional positions:
Sb (0.1384, 0.1384, 0.0000)
Sb (0.8616, 0.8616, 0.0000)
Ru (0.5000, 0.5000, 0.0000)
S (0.0000, 0.5000, 0.5000)
S (0.3269, 0.3269, 0.0000)
S (0.5000, 0.0000, 0.5000)
S (0.6731, 0.6731, 0.0000)

No. 2
Computed, not measured: crystalline SbRu3S at its relaxed geometry at the PBE level of DFT.

Computed properties:
Energy relative to the lowest polymorph listed for this composition: 0.000 eV/atom
Uncorrected energy: -33.776 eV/f.u.
SG: Pm-3m (221)

a b c (Å): 4.4134 4.4134 4.4134
angles (deg): 90.00 90.00 90.00
Fractional positions:
Sb (0.0000, 0.0000, 0.0000)
Ru (0.0000, 0.5000, 0.5000)
Ru (0.5000, 0.0000, 0.5000)
Ru (0.5000, 0.5000, 0.0000)
S (0.5000, 0.5000, 0.5000)

No. 3
Computed, not measured: crystalline SbRuS2 at its relaxed geometry at the PBE level of DFT.

Computed properties:
Uncorrected energy: -19.558 eV/f.u.
SG: R-3m (166)

a b c (Å): 9.2743 9.2743 9.2743
angles (deg): 19.28 19.28 19.28
Fractional positions:
Sb (0.0000, 0.0000, 0.0000)
Ru (0.5000, 0.5000, 0.5000)
S (0.4193, 0.4193, 0.4193)
S (0.5807, 0.5807, 0.5807)

No. 4
Computed, not measured: crystalline SbTe2RuS at its relaxed geometry at the PBE level of DFT.

Computed properties:
Energy relative to the lowest polymorph listed for this composition: 0.000 eV/atom
Uncorrected energy: -20.654 eV/f.u.
SG: P4/mmm (123)

a b c (Å): 5.1456 5.1456 5.1471
angles (deg): 90.00 90.00 90.00
Fractional positions:
Sb (0.0000, 0.0000, 0.0000)
Te (0.0000, 0.5000, 0.5000)
Te (0.5000, 0.0000, 0.5000)
Ru (0.0000, 0.0000, 0.5000)
S (0.5000, 0.5000, 0.0000)

No. 5
Computed, not measured: crystalline SbTe2RuS at its relaxed geometry at the PBE level of DFT.

Computed properties:
Energy relative to the lowest polymorph listed for this composition: 0.505 eV/atom
Uncorrected energy: -18.131 eV/f.u.
SG: P4/mmm (123)

a b c (Å): 5.0588 5.0588 5.0924
angles (deg): 90.00 90.00 90.00
Fractional positions:
Sb (0.0000, 0.0000, 0.0000)
Te (0.0000, 0.5000, 0.5000)
Te (0.5000, 0.0000, 0.5000)
Ru (0.5000, 0.5000, 0.0000)
S (0.0000, 0.0000, 0.5000)

No. 6
Computed, not measured: crystalline Th3SbRuS at its relaxed geometry at the PBE level of DFT.

Computed properties:
Uncorrected energy: -44.845 eV/f.u.
SG: P2_1/m (11)

a b c (Å): 8.1809 4.2974 9.8622
angles (deg): 90.00 114.25 90.00
Fractional positions:
Th (0.1768, 0.2500, 0.1500)
Th (0.2584, 0.7500, 0.4775)
Th (0.2883, 0.7500, 0.8630)
Th (0.7117, 0.2500, 0.1370)
Th (0.7416, 0.2500, 0.5225)
Th (0.8232, 0.7500, 0.8500)
Sb (0.4938, 0.7500, 0.2483)
Sb (0.5062, 0.2500, 0.7517)
Ru (0.0063, 0.2500, 0.3969)
Ru (0.9937, 0.7500, 0.6031)
S (0.0421, 0.2500, 0.8346)
S (0.9579, 0.7500, 0.1654)

No. 7
Computed, not measured: crystalline TlSbRuS2 at its relaxed geometry at the PBE level of DFT.

Computed properties:
Uncorrected energy: -18.074 eV/f.u.
SG: P4/mmm (123)

a b c (Å): 5.1016 5.1016 5.5702
angles (deg): 90.00 90.00 90.00
Fractional positions:
Tl (0.0000, 0.0000, 0.0000)
Sb (0.0000, 0.0000, 0.5000)
Ru (0.5000, 0.5000, 0.0000)
S (0.0000, 0.5000, 0.5000)
S (0.5000, 0.0000, 0.5000)

No. 8
Computed, not measured: crystalline ScRu3S at its relaxed geometry at the PBE level of DFT.

Computed properties:
Energy relative to the lowest polymorph listed for this composition: 1.910 eV/atom
Uncorrected energy: -29.241 eV/f.u.
SG: Pm-3m (221)

a b c (Å): 4.7030 4.7030 4.7030
angles (deg): 90.00 90.00 90.00
Fractional positions:
Sc (0.0000, 0.0000, 0.0000)
Ru (0.0000, 0.0000, 0.5000)
Ru (0.0000, 0.5000, 0.0000)
Ru (0.5000, 0.0000, 0.0000)
S (0.5000, 0.5000, 0.5000)

No. 9
Computed, not measured: crystalline ScRuS2 at its relaxed geometry at the PBE level of DFT.

Computed properties:
Energy relative to the lowest polymorph listed for this composition: 0.000 eV/atom
Uncorrected energy: -27.105 eV/f.u.
SG: I-42d (122)

a b c (Å): 7.2788 7.2788 7.2788
angles (deg): 139.67 139.67 58.36
Fractional positions:
Sc (0.0000, 0.0000, 0.0000)
Sc (0.7500, 0.2500, 0.5000)
Ru (0.2500, 0.7500, 0.5000)
Ru (0.5000, 0.5000, 0.0000)
S (0.1600, 0.6250, 0.0350)
S (0.3750, 0.4100, 0.5350)
S (0.5900, 0.1250, 0.9650)
S (0.8750, 0.8400, 0.4650)

No. 10
Computed, not measured: crystalline Sc2RuS at its relaxed geometry at the PBE level of DFT.

Computed properties:
Uncorrected energy: -28.152 eV/f.u.
SG: I-42d (122)

a b c (Å): 5.9654 5.9654 5.9654
angles (deg): 112.07 112.07 104.39
Fractional positions:
Sc (0.1252, 0.6250, 0.0002)
Sc (0.3750, 0.3752, 0.5002)
Sc (0.6248, 0.1250, 0.9998)
Sc (0.8750, 0.8748, 0.4998)
Ru (0.0000, 0.0000, 0.0000)
Ru (0.7500, 0.2500, 0.5000)
S (0.2500, 0.7500, 0.5000)
S (0.5000, 0.5000, 0.0000)

No. 11
Computed, not measured: crystalline Sc3RuS at its relaxed geometry at the PBE level of DFT.

Computed properties:
Energy relative to the lowest polymorph listed for this composition: 0.000 eV/atom
Uncorrected energy: -34.254 eV/f.u.
SG: Pm-3m (221)

a b c (Å): 4.7136 4.7136 4.7136
angles (deg): 90.00 90.00 90.00
Fractional positions:
Sc (0.0000, 0.0000, 0.5000)
Sc (0.0000, 0.5000, 0.0000)
Sc (0.5000, 0.0000, 0.0000)
Ru (0.5000, 0.5000, 0.5000)
S (0.0000, 0.0000, 0.0000)

No. 12
Computed, not measured: crystalline Sc2RuS at its relaxed geometry at the PBE level of DFT.

Computed properties:
Uncorrected energy: -28.156 eV/f.u.
SG: R-3m (166)

a b c (Å): 8.2231 8.2231 8.2231
angles (deg): 23.36 23.36 23.36
Fractional positions:
Sc (0.0978, 0.0978, 0.0978)
Sc (0.9022, 0.9022, 0.9022)
Ru (0.0000, 0.0000, 0.0000)
S (0.5000, 0.5000, 0.5000)

Number 7 is which compound?
TlSbRuS2

The lowest uncorrected energy belongs to which entry?
Th3SbRuS

What is the uncorrected energy in the first record?
-32.969 eV/f.u.

Look up the uncorrected energy of the first one.
-32.969 eV/f.u.